Entry 1:
Material: KTlTeCl6
Method: DFT, PBE
State: relaxed

a = 7.651 Å, b = 7.651 Å, c = 12.700 Å
α = 90.00°, β = 90.00°, γ = 120.00°
Sites, in units of the cell vectors:
Te: 0.667 0.333 0.250
Te: 0.333 0.667 0.750
Cl: 0.608 0.941 0.867
Cl: 0.059 0.667 0.867
Cl: 0.392 0.333 0.367
Cl: 0.059 0.392 0.633
Cl: 0.608 0.667 0.633
Cl: 0.941 0.608 0.367
Cl: 0.333 0.392 0.867
Cl: 0.392 0.059 0.133
Cl: 0.667 0.059 0.367
Cl: 0.941 0.333 0.133
Cl: 0.333 0.941 0.633
Cl: 0.667 0.608 0.133
Tl: 0.000 0.000 0.000
Tl: 0.000 0.000 0.500
K: 0.667 0.333 0.750
K: 0.333 0.667 0.250

Summary:
- formation energy without anion corrections (eV/atom) = -1.03
- volume (Å³/cell) = 644
- DOS at the Fermi energy (states/eV/cell) = 0.00

Entry 2:
Material: MgZrSi
Method: DFT, PBE
State: relaxed

a = 4.563 Å, b = 4.563 Å, c = 4.563 Å
α = 60.00°, β = 60.00°, γ = 60.00°
Sites, in units of the cell vectors:
Mg: 0.000 0.000 0.000
Si: 0.500 0.500 0.500
Zr: 0.750 0.750 0.750

Summary:
- formation energy without anion corrections (eV/atom) = 0.26
- volume (Å³/cell) = 67
- DOS at the Fermi energy (states/eV/cell) = 0.93

Entry 3:
Material: ZnCu4Ni3
Method: DFT, PBE
State: relaxed

a = 2.558 Å, b = 4.391 Å, c = 8.432 Å
α = 94.91°, β = 98.72°, γ = 90.00°
Sites, in units of the cell vectors:
Cu: 0.248 0.253 0.496
Cu: 0.752 0.747 0.504
Cu: 0.127 0.870 0.254
Cu: 0.873 0.130 0.746
Ni: 0.623 0.374 0.246
Ni: 0.000 0.500 0.000
Ni: 0.377 0.626 0.754
Zn: 0.500 0.000 0.000

Summary:
- E above lowest polymorph (kJ/mol of atoms) = 0.00
- formation energy (eV per atom) = -0.04
- volume (Å³/cell) = 93
- DOS at the Fermi energy (states/eV/cell) = 6.28

Entry 4:
Material: LaSn
Method: DFT, PBE
State: relaxed

a = 6.554 Å, b = 6.554 Å, c = 6.573 Å
α = 90.00°, β = 90.00°, γ = 90.00°
Sites, in units of the cell vectors:
Sn: 0.763 0.763 0.500
Sn: 0.737 0.263 0.000
Sn: 0.237 0.237 0.500
Sn: 0.263 0.737 0.000
La: 0.740 0.260 0.500
La: 0.260 0.740 0.500
La: 0.760 0.760 0.000
La: 0.240 0.240 0.000

Summary:
- formation energy (eV per atom) = -0.57
- volume (Å³/cell) = 282
- DOS at the Fermi energy (states/eV/cell) = 10.12

Entry 5:
Material: Ca4AlFe
Method: DFT, PBE
State: relaxed

a = 6.434 Å, b = 6.434 Å, c = 6.434 Å
α = 60.00°, β = 60.00°, γ = 60.00°
Sites, in units of the cell vectors:
Al: 0.000 0.000 0.000
Ca: 0.874 0.375 0.375
Ca: 0.375 0.874 0.375
Ca: 0.375 0.375 0.874
Ca: 0.375 0.375 0.375
Fe: 0.750 0.750 0.750

Summary:
- formation energy (eV per atom) = 0.81
- volume (Å³/cell) = 188
- DOS at the Fermi energy (states/eV/cell) = 6.53

Entry 6:
Material: BeTePbBr2
Method: DFT, PBE
State: relaxed

a = 4.823 Å, b = 5.543 Å, c = 4.823 Å
α = 90.00°, β = 90.00°, γ = 90.00°
Sites, in units of the cell vectors:
Te: 0.000 0.500 0.000
Pb: 0.500 0.500 0.500
Br: 0.000 0.000 0.500
Br: 0.500 0.000 0.000
Be: 0.000 0.000 0.000

Summary:
- formation energy without anion corrections (eV/atom) = -0.33
- volume (Å³/cell) = 129
- DOS at the Fermi energy (states/eV/cell) = 0.00